5
Lattice="4.649 0.000 0.000 0.000 4.649 0.000 0.000 0.000 4.150" Properties=species:S:1:pos:R:3 comment="Zr2NbSnN, relaxed, DFT PBE" formation_energy_uncorrected_ev_per_fu=-3.70 pbc="T T T"
Zr 0.000 2.324 0.000
Zr 2.324 0.000 0.000
Nb 0.000 0.000 2.075
Sn 2.324 2.324 2.075
N 0.000 0.000 0.000

18
Lattice="8.483 -4.145 0.000 8.483 4.145 0.000 -2.122 0.000 5.817" Properties=species:S:1:pos:R:3 comment="Sr3Nb2N4, relaxed, DFT PBE" formation_energy_uncorrected_ev_per_fu=-7.30 pbc="T T T"
Sr 5.794 2.902 0.841
Sr 6.891 2.116 4.363
Sr 10.111 2.902 2.068
Sr 4.733 -2.902 3.749
Sr 7.953 -2.116 1.454
Sr 9.050 -2.902 4.976
Nb 3.651 0.906 3.541
Nb 4.712 -0.906 0.632
Nb 10.131 0.906 5.185
Nb 11.193 -0.906 2.277
N 4.533 2.743 3.151
N 3.140 0.715 5.437
N 9.250 2.743 5.575
N 4.201 -0.715 2.528
N 10.643 0.715 3.289
N 5.594 -2.743 0.242
N 11.704 -0.715 0.380
N 10.311 -2.743 2.666

6
Lattice="11.817 0.000 0.000 0.000 1.705 2.953 0.000 -1.705 2.953" Properties=species:S:1:pos:R:3 comment="SrNbN, relaxed, DFT PBE" formation_energy_uncorrected_ev_per_fu=0.24 pbc="T T T"
Sr 1.507 0.000 0.000
Sr 10.310 0.000 0.000
Nb 4.710 0.000 1.980
Nb 7.107 0.000 1.980
N 0.000 0.000 1.969
N 5.908 0.000 0.011